Entry from the Alexandria database: a relaxed structure of KY2Ir (GGA-PBEsol).

E above lowest polymorph	176	meV/atom
formation energy	-0.4	eV per formula unit
ρ	5.022	g cm⁻³

Cell and atoms, written as extended XYZ:
```
4
Lattice="-3.5215 1.4672 -0.0818 -1.3385 -3.3122 -1.7865 -1.0120 -1.9363 8.8336" Properties=species:S:1:pos:R:3 pbc="T T T"
Y -3.0845 -2.3493 1.6483
Y -0.2190 -0.4960 0.5316
Ir -0.7083 -1.5418 2.8355
K -3.0354 -2.0182 5.4735
```

Entry from the Alexandria database: a relaxed structure of K3BrCl (GGA-PBEsol).

ρ	1.603	g cm⁻³
calculated total energy	-0.1873	Ry per atom

Cell and atoms, written as extended XYZ:
```
5
Lattice="6.2234 0.0000 0.0000 0.0000 6.2234 0.0000 0.0000 0.0000 6.2234" Properties=species:S:1:pos:R:3 pbc="T T T"
Cl 3.1117 3.1117 3.1117
K 0.0000 0.0000 3.1117
K 0.0000 3.1117 0.0000
K 3.1117 0.0000 0.0000
Br 0.0000 0.0000 0.0000
```

Entry from the Alexandria database: a relaxed structure of Fe2Ir (GGA-PBEsol).

formation energy	0.1	eV per formula unit
ρ	14.535	g cm⁻³

Cell and atoms, written as extended XYZ:
```
3
Lattice="-2.0618 -1.3146 -0.7389 1.5245 -0.3449 -3.6404 0.7738 -2.7541 2.7407" Properties=species:S:1:pos:R:3 pbc="T T T"
Fe 1.2742 -1.1480 -1.5133
Fe 1.0240 -1.9510 0.6137
Ir -1.0309 -0.6573 -0.3694
```

Entry from the Alexandria database: a relaxed structure of SrInRh3 (GGA-PBEsol).

formation energy	3.4	eV per formula unit
ρ	7.320	g cm⁻³

Cell and atoms, written as extended XYZ:
```
5
Lattice="4.8764 0.0000 0.0000 0.0000 4.8764 0.0000 0.0000 0.0000 4.8764" Properties=species:S:1:pos:R:3 pbc="T T T"
Rh 2.4382 0.0000 0.0000
Rh 0.0000 0.0000 2.4382
Rh 0.0000 2.4382 0.0000
Sr 2.4382 2.4382 2.4382
In 0.0000 0.0000 0.0000
```